First-principles (GGA-PBE) data for a relaxed structure of SrVN, as listed in Alexandria.

```
6
Lattice="3.085 0.000 0.000 -1.539 4.602 0.000 -1.025 -0.413 8.853" Properties=species:S:1:pos:R:3 pbc="T T T"
Sr 0.000 0.000 0.000
Sr 0.003 1.906 5.149
V 0.005 4.319 2.872
V 1.546 2.162 2.174
N 0.002 0.855 2.681
N 0.004 3.143 1.284
```

Calculated values
The total magnetic moment comes out at 0.0 μB per formula unit. The energy above the most stable polymorph in this dataset is 1.04 eV/f.u. Its raw formation energy is -391 meV/atom. The value obtained for the electronic total energy is -0.249 hartree per atom. The calculation puts the density of states at the Fermi level at 4.8 states/eV per cell. As for the volume: 20.9 A^3/atom.

---

First-principles (GGA-PBE) data for a relaxed structure of Sr2VN, as listed in Alexandria.

```
16
Lattice="10.709 0.000 0.000 0.000 10.709 0.000 0.000 0.000 3.875" Properties=species:S:1:pos:R:3 pbc="T T T"
Sr 0.712 8.031 0.484
Sr 2.677 0.712 3.390
Sr 2.677 4.642 1.453
Sr 4.642 8.031 2.422
Sr 6.066 2.677 2.422
Sr 8.031 6.066 1.453
Sr 8.031 9.997 3.390
Sr 9.997 2.677 0.484
V 0.000 0.000 1.937
V 0.000 5.354 2.906
V 5.354 0.000 0.969
V 5.354 5.354 0.000
N 0.000 0.000 0.000
N 0.000 5.354 0.969
N 5.354 0.000 2.906
N 5.354 5.354 1.937
```

Calculated values
The total magnetic moment comes out at 2.3 μB per formula unit. Its raw formation energy is -219 meV/atom. The value obtained for the electronic total energy is -0.199 hartree per atom. The calculation puts the density of states at the Fermi level at 12.3 states/eV per cell. As for the volume: 27.8 A^3/atom.